1.
# CaNd3Ga4

An optimized crystal structure of CaNd3Ga4 (PBE-GGA, Alexandria).

Output
Volume (Å³ per atom): 25.10
Formation energy from the elements (kcal/mol of atoms): -12.09
DFT total energy (eV per atom): -4.08
Crystal system: orthorhombic

abc: 10.418 7.401 5.209
angles: 90.00 90.00 90.00
Space group Pmma (No. 51)
Unique sites:
Ca1 0.000 0.000 0.000
Nd1 0.000 0.500 0.000
Nd2 0.250 0.000 0.499
Nd3 0.250 0.500 0.499
Ga1 0.000 0.247 0.500
Ga2 0.250 0.247 0.999

2.
# P2RuAuS

An optimized crystal structure of P2RuAuS (PBE-GGA, Alexandria).

Output
Relative energy among the computed polymorphs (eV per formula unit): 4.35
Volume (Å³ per atom): 21.71
Uncorrected formation energy (meV/atom): 1547
DFT total energy (eV per atom): -3.95
Crystal system: tetragonal

abc: 4.736 4.736 4.841
angles: 90.00 90.00 90.00
Space group P4/mmm (No. 123)
Unique sites:
P1 0.000 0.500 0.000
Ru1 0.000 0.000 0.500
Au1 0.500 0.500 0.000
S1 0.500 0.500 0.500

3.
# Ca2TlIr

An optimized crystal structure of Ca2TlIr (PBE-GGA, Alexandria).

Output
Relative energy among the computed polymorphs (eV per formula unit): 0.35
Volume (Å³ per atom): 23.72
Formation energy from the elements (kcal/mol of atoms): -4.79
DFT total energy (eV per atom): -4.02
Crystal system: cubic

abc: 7.240 7.240 7.240
angles: 90.00 90.00 90.00
Space group Fm-3m (No. 225)
Unique sites:
Ca1 0.250 0.250 0.250
Tl1 0.000 0.000 0.000
Ir1 0.000 0.000 0.500